# CrSe2F

An optimized crystal structure of CrSe2F (PBE with a Hubbard U, the Alexandria database).

Structure (extended XYZ):
```
4
Lattice="2.2511 0.0000 6.7876 -1.1255 1.9495 6.7876 -1.1255 -1.9495 6.7876" Properties=species:S:1:pos:R:3 pbc="T T T"
Cr 0.0000 0.0000 10.1815
Se 0.0000 0.0000 2.1486
F 0.0000 0.0000 0.0000
Se 0.0000 0.0000 18.2143
```

Results
Calculated total energy (eV per atom): -4.66
Mass density (g cm⁻³): 4.254
Crystal system: trigonal
Relative energy among the computed polymorphs (meV/atom): 0